Entry 1:
# PrHoTl2Pt4 PBE optimized geometry
data_PrHoTl2Pt4
_chemical_formula_sum 'Pr1 Ho1 Tl2 Pt4'
_cell_length_a 4.6668
_cell_length_b 4.6668
_cell_length_c 9.1219
_cell_angle_alpha 90.00
_cell_angle_beta 90.00
_cell_angle_gamma 120.00
_space_group_name_H-M_alt 'P -6 m 2'
_space_group_IT_number 187
_space_group_name_Hall 'P -6 2'
loop_
_atom_site_label
_atom_site_type_symbol
_atom_site_fract_x
_atom_site_fract_y
_atom_site_fract_z
Pr1 Pr 0.0000 0.0000 0.0000
Ho1 Ho 0.3333 0.6667 0.5000
Tl1 Tl 0.6667 0.3333 0.2549
Pt1 Pt 0.0000 0.0000 0.3489
Pt2 Pt 0.3333 0.6667 0.1604
# VASP energy, eV per atom: -5.5079
# Total magnetic moment, μB per formula unit: 0.0

***

Entry 2:
# PrHoS2 PBE optimized geometry
data_PrHoS2
_chemical_formula_sum 'Pr1 Ho1 S2'
_cell_length_a 4.000
_cell_length_b 4.000
_cell_length_c 5.657
_cell_angle_alpha 90.00
_cell_angle_beta 90.00
_cell_angle_gamma 90.00
_space_group_name_H-M_alt 'P 4/m m m'
_space_group_IT_number 123
_space_group_name_Hall '-P 4 2'
loop_
_atom_site_label
_atom_site_type_symbol
_atom_site_fract_x
_atom_site_fract_y
_atom_site_fract_z
Pr1 Pr 0.000 0.000 0.000
Ho1 Ho 0.500 0.500 0.500
S1 S 0.000 0.000 0.500
S2 S 0.500 0.500 0.000
# Total magnetic moment, μB per formula unit: 0.0
# Polymorph energy (0 for the lowest one), eV/atom: 0.0499